1.
{
  "formula": "Rb3Er3TiSe8",
  "functional": "GGA-PBE",
  "state": "optimized geometry",
  "raw_formation_energy_ev_per_atom": -1.58,
  "dft_energy_ev_per_atom": -5.073,
  "lattice": [[-3.431, -0.350, 7.371], [6.885, -4.076, -1.482], [0.906, 9.340, 0.865]],
  "species": ["Rb", "Rb", "Rb", "Er", "Er", "Er", "Ti", "Se", "Se", "Se", "Se", "Se", "Se", "Se", "Se"],
  "fractional_positions": [[0.000, 0.000, 0.000], [0.000, 0.500, 0.000], [0.500, 0.500, 0.000], [0.500, 0.000, 0.500], [0.500, 0.500, 0.500], [0.000, 0.500, 0.500], [0.000, 0.000, 0.500], [0.268, 0.537, 0.305], [0.732, 0.463, 0.695], [0.784, 0.568, 0.317], [0.216, 0.432, 0.683], [0.784, 0.033, 0.317], [0.216, 0.967, 0.683], [0.249, 0.033, 0.317], [0.751, 0.967, 0.683]]
}

---

2.
{
  "formula": "GaRh3I",
  "functional": "GGA-PBE",
  "state": "optimized geometry",
  "de_polymorph_mev_per_atom": 0,
  "raw_formation_energy_ev_per_atom": 0.74,
  "dft_energy_ev_per_atom": -4.586,
  "lattice": [[-4.112, 1.805, 1.194], [0.219, -2.203, 4.085], [2.154, 3.671, 1.864]],
  "species": ["I", "Rh", "Rh", "Rh", "Ga"],
  "fractional_positions": [[0.500, 0.500, 0.500], [0.000, 0.500, 0.000], [0.000, 0.000, 0.500], [0.500, 0.000, 0.000], [0.000, 0.000, 0.000]]
}

---

3.
{
  "formula": "Ho4CoPb2",
  "functional": "GGA-PBE",
  "state": "optimized geometry",
  "dft_energy_ev_per_atom": -5.000,
  "lattice": [[-1.141, -0.275, -6.145], [0.807, -6.611, 0.146], [-8.158, -0.868, 5.788]],
  "species": ["Ho", "Ho", "Ho", "Ho", "Ho", "Ho", "Ho", "Ho", "Co", "Co", "Pb", "Pb", "Pb", "Pb"],
  "fractional_positions": [[0.475, 0.503, 0.257], [0.094, 0.750, 0.906], [0.906, 0.250, 0.094], [0.475, 0.997, 0.257], [0.901, 0.250, 0.602], [0.525, 0.003, 0.743], [0.525, 0.497, 0.743], [0.099, 0.750, 0.398], [0.116, 0.750, 0.160], [0.884, 0.250, 0.840], [0.663, 0.750, 0.043], [0.337, 0.250, 0.957], [0.247, 0.250, 0.441], [0.753, 0.750, 0.559]]
}

---

4.
{
  "formula": "Ni2HPb",
  "functional": "GGA-PBE",
  "state": "optimized geometry",
  "de_polymorph_mev_per_atom": 350,
  "dft_energy_ev_per_atom": -4.215,
  "lattice": [[3.048, 0.000, 0.000], [1.524, 2.639, 0.000], [1.524, 0.880, 6.972]],
  "species": ["Pb", "Ni", "Ni", "H"],
  "fractional_positions": [[0.000, 0.000, 0.000], [0.126, 0.126, 0.623], [0.874, 0.874, 0.377], [0.500, 0.500, 0.500]]
}

---

5.
{
  "formula": "Pr3YTl3",
  "functional": "GGA-PBE",
  "state": "optimized geometry",
  "de_polymorph_mev_per_atom": 74,
  "dft_energy_ev_per_atom": -4.201,
  "lattice": [[-0.391, -6.837, 1.097], [6.730, 1.485, 0.783], [-1.675, 1.789, 9.442]],
  "species": ["Pr", "Pr", "Pr", "Pr", "Pr", "Pr", "Y", "Y", "Tl", "Tl", "Tl", "Tl", "Tl", "Tl"],
  "fractional_positions": [[0.592, 0.592, 0.317], [0.180, 0.820, 0.500], [0.820, 0.180, 0.500], [0.243, 0.757, 0.000], [0.757, 0.243, 0.000], [0.408, 0.408, 0.683], [0.726, 0.726, 0.955], [0.274, 0.274, 0.045], [0.967, 0.967, 0.230], [0.948, 0.522, 0.737], [0.522, 0.948, 0.737], [0.052, 0.478, 0.263], [0.478, 0.052, 0.263], [0.033, 0.033, 0.770]]
}

---

6.
{
  "formula": "CaBeCd",
  "functional": "GGA-PBE",
  "state": "optimized geometry",
  "de_polymorph_mev_per_atom": 173,
  "dft_energy_ev_per_atom": -1.980,
  "lattice": [[-0.757, -3.411, -3.059], [-2.613, -3.650, 1.191], [-4.215, -0.548, -1.871]],
  "species": ["Be", "Ca", "Cd"],
  "fractional_positions": [[0.750, 0.750, 0.750], [0.000, 0.000, 0.000], [0.500, 0.500, 0.500]]
}